(1)
A plane-wave DFT calculation with PBE-GGA was carried out for an optimized crystal structure of BaAgTe2I.

```
BaAgTe2I
1.0
5.511 0.000 0.000
0.000 5.511 0.000
0.000 0.000 5.955
Ba Ag Te I
1 1 2 1
direct
0.000 0.000 0.000
0.500 0.500 0.500
0.000 0.500 0.500
0.500 0.000 0.500
0.500 0.500 0.000
```

Computed properties:
Formation energy (no corrections) ... -621 meV/atom
Symmetry ... P4/mmm
Energy relative to the lowest polymorph listed for this composition ... 0.0000 eV per atom

=====

(2)
A plane-wave DFT calculation with PBE-GGA was carried out for an optimized crystal structure of AcTh3Bi4.

```
AcTh3Bi4
1.0
9.354 0.000 0.000
0.000 13.176 0.000
0.000 0.000 4.644
Ac Th Bi
2 6 8
direct
0.000 0.000 0.000
0.500 0.500 0.000
0.000 0.500 0.000
0.250 0.250 0.500
0.250 0.750 0.500
0.500 0.000 0.000
0.750 0.250 0.500
0.750 0.750 0.500
0.000 0.255 0.000
0.000 0.745 0.000
0.240 0.500 0.500
0.260 0.000 0.500
0.500 0.245 0.000
0.500 0.755 0.000
0.740 0.000 0.500
0.760 0.500 0.500
```

Computed properties:
DFT formation energy ... -0.657 eV per atom
Symmetry ... Cmmm

=====

(3)
A plane-wave DFT calculation with PBE-GGA was carried out for an optimized crystal structure of MgPb2Br.

```
MgPb2Br
1.0
3.652 0.000 0.000
0.000 5.702 0.000
-1.750 0.000 5.731
Mg Pb Br
1 2 1
direct
0.000 0.000 0.000
0.269 0.000 0.541
0.749 0.500 0.511
0.005 0.500 0.026
```

Computed properties:
Formation energy (no corrections) ... -273 meV/atom
Symmetry ... Pm
Energy relative to the lowest polymorph listed for this composition ... 0.0742 eV per atom

=====

(4)
A plane-wave DFT calculation with PBE-GGA was carried out for an optimized crystal structure of TlTc3As.

```
TlTc3As
1.0
5.096 0.000 0.000
0.000 5.096 0.000
0.000 0.000 5.096
Tl Tc As
1 3 1
direct
0.000 0.000 0.000
0.000 0.000 0.500
0.000 0.500 0.000
0.500 0.000 0.000
0.500 0.500 0.500
```

Computed properties:
DFT formation energy ... 2.530 eV per atom
Symmetry ... Pm-3m
Energy relative to the lowest polymorph listed for this composition ... 1.5521 eV per atom

=====

(5)
A plane-wave DFT calculation with PBE-GGA was carried out for an optimized crystal structure of NdErCd5.

```
NdErCd5
1.0
5.200 0.000 0.000
0.000 5.200 0.000
0.000 0.000 6.879
Nd Er Cd
1 1 5
direct
0.000 0.000 0.000
0.500 0.500 0.500
0.000 0.500 0.274
0.000 0.500 0.726
0.500 0.000 0.274
0.500 0.000 0.726
0.500 0.500 0.000
```

Computed properties:
DFT formation energy ... -0.115 eV per atom
Symmetry ... P4/mmm

=====

(6)
A plane-wave DFT calculation with PBE-GGA was carried out for an optimized crystal structure of GeMoCl2.

```
GeMoCl2
1.0
6.315 0.000 0.000
0.000 6.315 0.000
0.000 0.000 9.939
Ge Mo Cl
4 4 8
direct
0.000 0.000 0.000
0.000 0.500 0.250
0.500 0.000 0.750
0.500 0.500 0.500
0.000 0.000 0.500
0.000 0.500 0.750
0.500 0.000 0.250
0.500 0.500 0.000
0.186 0.250 0.625
0.250 0.686 0.875
0.250 0.814 0.375
0.314 0.250 0.125
0.686 0.750 0.125
0.750 0.186 0.375
0.750 0.314 0.875
0.814 0.750 0.625
```

Computed properties:
Formation energy (no corrections) ... 681 meV/atom
Symmetry ... I-42d
Energy relative to the lowest polymorph listed for this composition ... 0.0709 eV per atom

=====

(7)
A plane-wave DFT calculation with PBE-GGA was carried out for an optimized crystal structure of NaPm4SmS8.

```
NaPm4SmS8
1.0
4.158 2.401 6.775
-4.158 2.401 6.775
0.000 -4.802 6.775
Na Pm Sm S
1 4 1 8
direct
0.000 0.000 0.000
0.113 0.629 0.629
0.250 0.250 0.250
0.629 0.113 0.629
0.629 0.629 0.113
0.629 0.629 0.629
0.383 0.383 0.383
0.384 0.384 0.850
0.384 0.850 0.384
0.407 0.863 0.863
0.850 0.384 0.384
0.863 0.407 0.863
0.863 0.863 0.407
0.864 0.864 0.864
```

Computed properties:
Formation energy (no corrections) ... -1925 meV/atom
Symmetry ... R3m

=====

(8)
A plane-wave DFT calculation with PBE-GGA was carried out for an optimized crystal structure of Li3ZrCl7.

```
Li3ZrCl7
1.0
6.517 -3.848 0.000
6.517 3.848 0.000
-0.507 0.000 6.410
Li Zr Cl
3 1 7
direct
0.000 0.000 0.000
0.331 0.834 0.481
0.834 0.331 0.481
0.674 0.674 0.084
0.002 0.002 0.360
0.345 0.808 0.854
0.511 0.974 0.312
0.515 0.515 0.296
0.808 0.345 0.854
0.815 0.815 0.858
0.974 0.511 0.312
```

Computed properties:
Formation energy (no corrections) ... -1787 meV/atom
Symmetry ... Cm

=====

(9)
A plane-wave DFT calculation with PBE-GGA was carried out for an optimized crystal structure of Ac2CuHg3.

```
Ac2CuHg3
1.0
3.981 0.000 0.000
0.000 4.949 0.000
0.000 0.000 8.593
Ac Cu Hg
2 1 3
direct
0.000 0.000 0.000
0.000 0.500 0.478
0.500 0.000 0.312
0.500 0.000 0.632
0.500 0.500 0.165
0.500 0.500 0.819
```

Computed properties:
DFT formation energy ... -0.387 eV per atom
Symmetry ... Pmm2

=====

(10)
A plane-wave DFT calculation with PBE-GGA was carried out for an optimized crystal structure of In2IrPt.

```
In2IrPt
1.0
3.033 0.000 0.000
0.000 3.033 0.000
0.000 0.000 8.250
In Ir Pt
2 1 1
direct
0.000 0.000 0.000
0.500 0.500 0.333
0.000 0.000 0.549
0.500 0.500 0.772
```

Computed properties:
DFT formation energy ... 0.079 eV per atom
Symmetry ... P4mm
Energy relative to the lowest polymorph listed for this composition ... 0.3009 eV per atom

=====

(11)
A plane-wave DFT calculation with PBE-GGA was carried out for an optimized crystal structure of Pm7Pr2Er3.

```
Pm7Pr2Er3
1.0
6.459 0.000 0.000
0.000 3.573 0.000
-1.814 0.000 17.599
Pm Pr Er
7 2 3
direct
0.000 0.000 0.000
0.229 0.500 0.169
0.258 0.500 0.497
0.278 0.000 0.837
0.722 0.000 0.163
0.742 0.500 0.503
0.771 0.500 0.831
0.059 0.500 0.671
0.941 0.500 0.329
0.454 0.000 0.341
0.500 0.500 0.000
0.546 0.000 0.659
```

Computed properties:
DFT formation energy ... 0.066 eV per atom
Symmetry ... P2/m
Energy relative to the lowest polymorph listed for this composition ... 0.0000 eV per atom

=====

(12)
A plane-wave DFT calculation with PBE-GGA was carried out for an optimized crystal structure of RbTlH6Au2.

```
RbTlH6Au2
1.0
4.056 -5.965 0.000
4.056 5.965 0.000
-1.352 0.000 6.743
Rb Tl H Au
2 2 12 4
direct
0.090 0.910 0.750
0.910 0.090 0.250
0.333 0.667 0.250
0.667 0.333 0.750
0.008 0.749 0.329
0.125 0.566 0.885
0.251 0.992 0.171
0.303 0.353 0.540
0.353 0.303 0.040
0.434 0.875 0.615
0.566 0.125 0.385
0.647 0.697 0.960
0.697 0.647 0.460
0.749 0.008 0.829
0.875 0.434 0.115
0.992 0.251 0.671
0.209 0.454 0.712
0.454 0.209 0.212
0.546 0.791 0.788
0.791 0.546 0.288
```

Computed properties:
Symmetry ... C2/c
Raw total energy ... -59.45 eV/cell

=====

(13)
A plane-wave DFT calculation with PBE-GGA was carried out for an optimized crystal structure of La2ZrFeTc.

```
La2ZrFeTc
1.0
5.493 0.000 0.000
0.000 5.493 0.000
0.000 0.000 4.406
La Zr Fe Tc
2 1 1 1
direct
0.000 0.500 0.000
0.500 0.000 0.000
0.000 0.000 0.500
0.500 0.500 0.500
0.500 0.500 0.000
```

Computed properties:
DFT formation energy ... 0.716 eV per atom
Symmetry ... P4/mmm

=====

(14)
A plane-wave DFT calculation with PBE-GGA was carried out for an optimized crystal structure of SrTcN3.

```
SrTcN3
1.0
5.784 0.000 0.000
0.000 4.326 0.000
-2.185 0.000 5.728
Sr Tc N
2 2 6
direct
0.241 0.000 0.476
0.759 0.500 0.524
0.357 0.760 0.021
0.643 0.260 0.979
0.015 0.982 0.773
0.152 0.564 0.154
0.437 0.527 0.756
0.563 0.027 0.244
0.848 0.064 0.846
0.985 0.482 0.227
```

Computed properties:
Formation energy (no corrections) ... -283 meV/atom
Symmetry ... P2_1

=====

(15)
A plane-wave DFT calculation with PBE-GGA was carried out for an optimized crystal structure of Hg2TeBr.

```
Hg2TeBr
1.0
6.207 0.000 0.000
0.000 9.582 0.000
0.000 0.000 8.255
Hg Te Br
8 4 4
direct
0.000 0.000 0.000
0.000 0.000 0.500
0.000 0.268 0.250
0.000 0.732 0.750
0.500 0.232 0.750
0.500 0.500 0.000
0.500 0.500 0.500
0.500 0.768 0.250
0.000 0.199 0.750
0.000 0.801 0.250
0.500 0.301 0.250
0.500 0.699 0.750
0.000 0.500 0.000
0.000 0.500 0.500
0.500 0.000 0.000
0.500 0.000 0.500
```

Computed properties:
Formation energy (no corrections) ... -177 meV/atom
Symmetry ... Cmcm
Energy relative to the lowest polymorph listed for this composition ... 0.0794 eV per atom

=====

(16)
A plane-wave DFT calculation with PBE-GGA was carried out for an optimized crystal structure of CaAs2CCl.

```
CaAs2CCl
1.0
4.134 0.000 0.000
0.000 4.134 0.000
0.000 0.000 6.269
Ca As C Cl
1 2 1 1
direct
0.000 0.000 0.000
0.000 0.500 0.500
0.500 0.000 0.500
0.500 0.500 0.500
0.500 0.500 0.000
```

Computed properties:
Formation energy (no corrections) ... 171 meV/atom
Symmetry ... P4/mmm

=====

(17)
A plane-wave DFT calculation with PBE-GGA was carried out for an optimized crystal structure of Tm4TeAs3.

```
Tm4TeAs3
1.0
4.105 0.000 0.000
0.000 5.846 0.000
0.000 0.000 8.279
Tm Te As
4 1 3
direct
0.000 0.000 0.000
0.000 0.000 0.500
0.500 0.500 0.228
0.500 0.500 0.772
0.000 0.500 0.500
0.000 0.500 0.000
0.500 0.000 0.251
0.500 0.000 0.749
```

Computed properties:
Formation energy (no corrections) ... -1454 meV/atom
Symmetry ... Pmmm

=====

(18)
A plane-wave DFT calculation with PBE-GGA was carried out for an optimized crystal structure of Ca3TiP.

```
Ca3TiP
1.0
5.582 0.000 0.000
0.000 5.582 0.000
0.000 0.000 5.582
Ca Ti P
3 1 1
direct
0.000 0.000 0.500
0.000 0.500 0.000
0.500 0.000 0.000
0.000 0.000 0.000
0.500 0.500 0.500
```

Computed properties:
DFT formation energy ... 0.890 eV per atom
Symmetry ... Pm-3m
Energy relative to the lowest polymorph listed for this composition ... 0.9158 eV per atom

=====

(19)
A plane-wave DFT calculation with PBE-GGA was carried out for an optimized crystal structure of CsPdBrF2.

```
CsPdBrF2
1.0
4.670 0.000 0.000
0.000 4.670 0.000
0.000 0.000 5.073
Cs Pd Br F
1 1 1 2
direct
0.000 0.000 0.000
0.500 0.500 0.500
0.500 0.500 0.000
0.000 0.500 0.500
0.500 0.000 0.500
```

Computed properties:
Formation energy (no corrections) ... -1379 meV/atom
Symmetry ... P4/mmm

=====

(20)
A plane-wave DFT calculation with PBE-GGA was carried out for an optimized crystal structure of Co2W.

```
Co2W
1.0
9.299 0.000 0.000
0.000 2.635 0.000
-2.237 0.000 6.053
Co W
8 4
direct
0.043 0.000 0.261
0.146 0.500 0.027
0.354 0.000 0.973
0.457 0.500 0.739
0.543 0.500 0.261
0.646 0.000 0.027
0.854 0.500 0.973
0.957 0.000 0.739
0.165 0.500 0.634
0.335 0.000 0.366
0.665 0.000 0.634
0.835 0.500 0.366
```

Computed properties:
DFT formation energy ... 0.110 eV per atom
Symmetry ... C2/m

=====

(21)
A plane-wave DFT calculation with PBE-GGA was carried out for an optimized crystal structure of Ba2CoPd2.

```
Ba2CoPd2
1.0
7.424 0.000 0.000
0.000 7.424 0.000
0.000 0.000 4.755
Ba Co Pd
4 2 4
direct
0.178 0.322 0.000
0.322 0.822 0.000
0.678 0.178 0.000
0.822 0.678 0.000
0.000 0.000 0.500
0.500 0.500 0.500
0.135 0.635 0.500
0.365 0.135 0.500
0.635 0.865 0.500
0.865 0.365 0.500
```

Computed properties:
DFT formation energy ... 0.008 eV per atom
Symmetry ... P4/mbm
Energy relative to the lowest polymorph listed for this composition ... 0.0000 eV per atom

=====

(22)
A plane-wave DFT calculation with PBE-GGA was carried out for an optimized crystal structure of Cd3MoPt.

```
Cd3MoPt
1.0
5.155 0.000 0.000
0.000 5.155 0.000
0.000 0.000 5.155
Cd Mo Pt
3 1 1
direct
0.000 0.000 0.500
0.000 0.500 0.000
0.500 0.000 0.000
0.500 0.500 0.500
0.000 0.000 0.000
```

Computed properties:
DFT formation energy ... 0.841 eV per atom
Symmetry ... Pm-3m
Energy relative to the lowest polymorph listed for this composition ... 0.0000 eV per atom

=====

(23)
A plane-wave DFT calculation with PBE-GGA was carried out for an optimized crystal structure of CeYHf.

```
CeYHf
1.0
3.351 0.000 0.000
-1.675 2.902 0.000
0.000 0.000 8.324
Ce Y Hf
1 1 1
direct
0.000 0.000 0.000
0.667 0.333 0.360
0.333 0.667 0.686
```

Computed properties:
DFT formation energy ... 0.154 eV per atom
Symmetry ... P3m1
Energy relative to the lowest polymorph listed for this composition ... 0.0037 eV per atom

=====

(24)
A plane-wave DFT calculation with PBE-GGA was carried out for an optimized crystal structure of DyAg2F8.

```
DyAg2F8
1.0
7.006 0.000 0.000
-3.503 6.067 0.000
0.000 0.000 4.197
Dy Ag F
1 2 8
direct
0.000 0.000 0.000
0.333 0.667 0.738
0.667 0.333 0.262
0.155 0.312 0.737
0.157 0.845 0.737
0.312 0.157 0.263
0.333 0.667 0.237
0.667 0.333 0.763
0.688 0.843 0.737
0.843 0.155 0.263
0.845 0.688 0.263
```

Computed properties:
Formation energy (no corrections) ... -2013 meV/atom
Symmetry ... P-3